The following is a PBE-GGA calculation of crystalline TcTePd2 at its relaxed geometry, from OQMD via LeMat-Bulk.

Calculated values
As for the total magnetization: 0.015 μB per cell. As for the total energy: -5.90 eV per atom. The space-group type is F-43m.

Cell lengths 4.537, 4.537, 4.537 Å; angles 60.00, 60.00, 60.00 degrees
Fractional positions:
Pd 0.250 0.250 0.250
Pd 0.500 0.500 0.500
Tc 0.000 0.000 0.000
Te 0.750 0.750 0.750

---

The following is a PBE-GGA calculation of crystalline Hf4Nb2Al3N3 at its relaxed geometry, from OQMD via LeMat-Bulk.

Calculated values
As for the total magnetization: 0.006 μB per cell. As for the total energy: -9.00 eV per atom. The space-group type is C2/c.

Cell lengths 5.455, 5.455, 14.481 Å; angles 100.79, 100.79, 60.08 degrees
Fractional positions:
Al 0.417 0.276 0.249
Al 0.109 0.891 0.250
Al 0.724 0.583 0.251
Al 0.276 0.417 0.749
Al 0.891 0.109 0.750
Al 0.583 0.724 0.751
Hf 0.698 0.862 0.092
Hf 0.029 0.199 0.092
Hf 0.801 0.971 0.408
Hf 0.138 0.302 0.408
Hf 0.862 0.698 0.592
Hf 0.199 0.029 0.592
Hf 0.971 0.801 0.908
Hf 0.302 0.138 0.908
N 0.673 0.153 0.000
N 0.000 0.500 0.000
N 0.327 0.847 0.000
N 0.153 0.673 0.500
N 0.500 0.000 0.500
N 0.847 0.327 0.500
Nb 0.366 0.529 0.087
Nb 0.471 0.634 0.413
Nb 0.529 0.366 0.587
Nb 0.634 0.471 0.913

---

Which of these has the lowest total magnetization? Hf4Nb2Al3N3

---

Which value of total magnetization does entry 1 give? 0.015 μB per cell